Entry i
VASP calculation (GGA-PBE) on an optimized crystal structure of InAgGeS3.

Structure (POSCAR):
```
InAgGeS3
1.0
6.5776 -1.8301 0.0000
6.5776 1.8301 0.0000
0.0000 0.0000 10.6223
Ge Ag In S
2 2 2 6
direct
0.0000 0.0000 0.5000 Ge
0.0000 0.0000 0.0000 Ge
0.4962 0.4962 0.7500 Ag
0.5038 0.5038 0.2500 Ag
0.2164 0.2164 0.7500 In
0.7836 0.7836 0.2500 In
0.3685 0.3685 0.0778 S
0.6315 0.6315 0.5778 S
0.6315 0.6315 0.9222 S
0.3685 0.3685 0.4222 S
0.1392 0.1392 0.2500 S
0.8608 0.8608 0.7500 S
```

***

Entry ii
VASP calculation (GGA-PBE) on an optimized crystal structure of InAgGeS3.

Structure (POSCAR):
```
InAgGeS3
1.0
1.8633 -7.0055 0.0000
1.8633 7.0055 0.0000
0.0000 0.0000 10.2585
Ge In S Ag
2 2 6 2
direct
0.6698 0.3302 0.2500 Ge
0.3302 0.6698 0.7500 Ge
0.0000 0.0000 0.0000 In
0.0000 0.0000 0.5000 In
0.6298 0.3702 0.9812 S
0.3702 0.6298 0.4812 S
0.6298 0.3702 0.5188 S
0.9462 0.0538 0.7500 S
0.3702 0.6298 0.0188 S
0.0538 0.9462 0.2500 S
0.6671 0.3329 0.7500 Ag
0.3329 0.6671 0.2500 Ag
```

***

The structure with the most favorable energy is entry ii; the runner-up is 187 meV per atom above it.

***

Entry i
VASP calculation (GGA-PBE) on an optimized crystal structure of InAg3GeTe4.

Structure (POSCAR):
```
InAg3GeTe4
1.0
-4.1943 4.9422 1.3540
-1.5274 0.4644 -6.4267
-4.8914 -4.3829 0.8459
Ag Te In Ge
3 4 1 1
direct
0.5000 0.0000 0.5000 Ag
0.0000 0.5000 0.5000 Ag
0.5000 0.5000 0.0000 Ag
0.7490 0.2510 0.7490 Te
0.7490 0.7490 0.2510 Te
0.2510 0.2510 0.2510 Te
0.2510 0.7490 0.7490 Te
0.0000 0.0000 0.0000 In
0.5000 0.5000 0.5000 Ge
```

***

Entry ii
VASP calculation (GGA-PBE) on an optimized crystal structure of InAg3GeTe4.

Structure (POSCAR):
```
InAg3GeTe4
1.0
-1.3547 4.7191 4.7660
-7.4367 -3.4221 1.2746
4.4985 -7.6546 5.6958
Te Ag In Ge
8 6 2 2
direct
0.1700 0.2500 0.9464 Te
0.4762 0.0090 0.2636 Te
0.0442 0.2500 0.4967 Te
0.5238 0.5090 0.7364 Te
0.5238 0.9910 0.7364 Te
0.9558 0.7500 0.5033 Te
0.4762 0.4910 0.2636 Te
0.8300 0.7500 0.0536 Te
0.7136 0.0558 0.5267 Ag
0.2864 0.5558 0.4733 Ag
0.1861 0.7500 0.2347 Ag
0.8139 0.2500 0.7653 Ag
0.2864 0.9442 0.4733 Ag
0.7136 0.4442 0.5267 Ag
0.6667 0.2500 0.0400 In
0.3333 0.7500 0.9600 In
0.7102 0.7500 0.2713 Ge
0.2898 0.2500 0.7287 Ge
```

***

The structure with the most favorable energy is entry i; the runner-up is 14 meV per atom above it.

***

Entry i
VASP calculation (GGA-PBE) on an optimized crystal structure of LiAg3GeS4.

Structure (POSCAR):
```
LiAg3GeS4
1.0
-3.7110 -3.7700 3.7657
1.8572 -5.8707 -4.0471
9.3839 0.1866 4.0356
S Ge Li Ag
8 2 2 6
direct
0.5579 0.2500 0.5223 S
0.0352 0.0057 0.7219 S
0.4421 0.7500 0.4777 S
0.9648 0.5057 0.2781 S
0.2693 0.7500 0.0858 S
0.9648 0.9943 0.2781 S
0.0352 0.4943 0.7219 S
0.7307 0.2500 0.9142 S
0.1755 0.7500 0.2742 Ge
0.8245 0.2500 0.7258 Ge
0.0045 0.7500 0.8652 Li
0.9955 0.2500 0.1348 Li
0.7578 0.9544 0.4512 Ag
0.7578 0.5456 0.4512 Ag
0.2422 0.0456 0.5488 Ag
0.6566 0.7500 0.1850 Ag
0.3434 0.2500 0.8150 Ag
0.2422 0.4544 0.5488 Ag
```

***

Entry ii
VASP calculation (GGA-PBE) on an optimized crystal structure of LiAg3GeS4.

Structure (POSCAR):
```
LiAg3GeS4
1.0
6.2110 0.0000 0.0000
0.0000 6.2110 0.0000
0.0000 0.0000 6.2110
S Li Ag Ge
4 1 3 1
direct
0.7131 0.2869 0.7131 S
0.2869 0.7131 0.7131 S
0.2869 0.2869 0.2869 S
0.7131 0.7131 0.2869 S
0.0000 0.0000 0.0000 Li
0.5000 0.0000 0.5000 Ag
0.5000 0.5000 0.0000 Ag
0.0000 0.5000 0.5000 Ag
0.5000 0.5000 0.5000 Ge
```

***

The structure with the most favorable energy is entry i; the runner-up is 151 meV per atom above it.

***

Entry i
VASP calculation (GGA-PBE) on an optimized crystal structure of LuAgGeTe3.

Structure (POSCAR):
```
LuAgGeTe3
1.0
-7.6475 -11.1644 3.9993
0.4478 -1.6690 -3.8028
9.5319 -5.2948 3.4461
Lu Te Ge Ag
4 12 4 4
direct
0.5053 0.7500 0.8219 Lu
0.0053 0.7500 0.6781 Lu
0.9947 0.2500 0.3219 Lu
0.4947 0.2500 0.1781 Lu
0.6339 0.2500 0.3836 Te
0.8661 0.7500 0.8836 Te
0.8840 0.2500 0.5547 Te
0.3476 0.7500 0.2497 Te
0.1524 0.2500 0.7497 Te
0.6160 0.7500 0.0547 Te
0.3661 0.7500 0.6164 Te
0.1160 0.7500 0.4453 Te
0.1339 0.2500 0.1164 Te
0.3840 0.2500 0.9453 Te
0.8476 0.7500 0.2503 Te
0.6524 0.2500 0.7503 Te
0.7845 0.2500 0.0568 Ge
0.7155 0.7500 0.5568 Ge
0.2155 0.7500 0.9432 Ge
0.2845 0.2500 0.4432 Ge
0.4942 0.7500 0.4119 Ag
0.9942 0.7500 0.0881 Ag
0.0058 0.2500 0.9119 Ag
0.5058 0.2500 0.5881 Ag
```

***

Entry ii
VASP calculation (GGA-PBE) on an optimized crystal structure of LuAgGeTe3.

Structure (POSCAR):
```
LuAgGeTe3
1.0
9.6610 -2.0833 0.0000
9.6610 2.0833 0.0000
-1.8241 0.0000 8.5208
Te Ge Lu Ag
6 2 2 2
direct
0.3122 0.3122 0.1489 Te
0.6749 0.6749 0.3393 Te
0.5000 0.5000 0.0000 Te
0.6878 0.6878 0.8511 Te
0.3251 0.3251 0.6607 Te
0.0000 0.0000 0.5000 Te
0.1245 0.1245 0.0659 Ge
0.8755 0.8755 0.9341 Ge
0.1619 0.1619 0.5877 Lu
0.8381 0.8381 0.4123 Lu
0.5446 0.5446 0.7170 Ag
0.4554 0.4554 0.2830 Ag
```

***

Entry iii
VASP calculation (GGA-PBE) on an optimized crystal structure of LuAgGeTe3.

Structure (POSCAR):
```
LuAgGeTe3
1.0
-3.9362 -11.7954 -3.9936
4.1018 -1.2819 -0.2567
-0.4672 -3.8840 11.9321
Ag Ge Te Lu
4 4 12 4
direct
0.7602 0.2500 0.6895 Ag
0.2398 0.7500 0.3105 Ag
0.7398 0.7500 0.1895 Ag
0.2602 0.2500 0.8105 Ag
0.1557 0.2500 0.5182 Ge
0.8443 0.7500 0.4818 Ge
0.3443 0.7500 0.0182 Ge
0.6557 0.2500 0.9818 Ge
0.4683 0.2500 0.8617 Te
0.0861 0.2500 0.9290 Te
0.5317 0.7500 0.1383 Te
0.5861 0.2500 0.5710 Te
0.9683 0.2500 0.6383 Te
0.4139 0.7500 0.4290 Te
0.7303 0.7500 0.8408 Te
0.2303 0.7500 0.6592 Te
0.0317 0.7500 0.3617 Te
0.2697 0.2500 0.1592 Te
0.9139 0.7500 0.0710 Te
0.7697 0.2500 0.3408 Te
0.9644 0.7500 0.8232 Lu
0.4644 0.7500 0.6768 Lu
0.0356 0.2500 0.1768 Lu
0.5356 0.2500 0.3232 Lu
```

***

The structure with the most favorable energy is entry i; the runner-up is 32 meV per atom above it.

***

Entry i
VASP calculation (GGA-PBE) on an optimized crystal structure of LuAgGeTe3.

Structure (POSCAR):
```
LuAgGeTe3
1.0
-4.9037 1.5810 5.4496
-5.7350 -2.3350 4.2311
7.0990 -3.8414 7.5022
Te Lu Ge Ag
6 2 2 2
direct
0.1083 0.1083 0.2500 Te
0.8917 0.8917 0.7500 Te
0.3512 0.3512 0.4402 Te
0.6488 0.6488 0.5598 Te
0.3512 0.3512 0.0598 Te
0.6488 0.6488 0.9402 Te
0.0000 0.0000 0.5000 Lu
0.0000 0.0000 0.0000 Lu
0.2189 0.2189 0.7500 Ge
0.7811 0.7811 0.2500 Ge
0.4785 0.4785 0.2500 Ag
0.5215 0.5215 0.7500 Ag
```

***

Entry ii
VASP calculation (GGA-PBE) on an optimized crystal structure of LuAgGeTe3.

Structure (POSCAR):
```
LuAgGeTe3
1.0
11.1745 0.0000 0.0000
0.0000 4.3291 0.0000
0.0000 0.0000 14.4357
Lu Te Ge Ag
4 12 4 4
direct
0.4761 0.2500 0.2396 Lu
0.0239 0.7500 0.7396 Lu
0.5239 0.7500 0.7604 Lu
0.9761 0.2500 0.2604 Lu
0.5493 0.7500 0.3945 Te
0.2380 0.2500 0.3564 Te
0.4507 0.2500 0.6055 Te
0.0493 0.7500 0.1055 Te
0.0716 0.2500 0.6053 Te
0.7620 0.7500 0.6436 Te
0.9284 0.7500 0.3947 Te
0.4284 0.7500 0.1053 Te
0.5716 0.2500 0.8947 Te
0.7380 0.2500 0.1436 Te
0.9507 0.2500 0.8945 Te
0.2620 0.7500 0.8564 Te
0.1746 0.2500 0.9846 Ge
0.8254 0.7500 0.0154 Ge
0.3254 0.7500 0.4846 Ge
0.6746 0.2500 0.5154 Ge
0.7473 0.7500 0.2686 Ag
0.7527 0.2500 0.7686 Ag
0.2473 0.7500 0.2314 Ag
0.2527 0.2500 0.7314 Ag
```

***

Entry iii
VASP calculation (GGA-PBE) on an optimized crystal structure of LuAgGeTe3.

Structure (POSCAR):
```
LuAgGeTe3
1.0
12.5366 0.0000 0.0000
0.0000 4.3614 0.0000
0.0000 0.0000 12.6263
Te Ge Lu Ag
12 4 4 4
direct
0.6582 0.0000 0.2739 Te
0.9308 0.5000 0.4126 Te
0.8418 0.0000 0.7739 Te
0.8681 0.5000 0.0312 Te
0.5692 0.5000 0.9126 Te
0.0692 0.0000 0.5874 Te
0.3681 0.0000 0.4688 Te
0.3418 0.5000 0.7261 Te
0.4308 0.0000 0.0874 Te
0.1582 0.5000 0.2261 Te
0.1319 0.0000 0.9688 Te
0.6319 0.5000 0.5312 Te
0.4923 0.0000 0.6602 Ge
0.9923 0.5000 0.8398 Ge
0.5077 0.5000 0.3398 Ge
0.0077 0.0000 0.1602 Ge
0.6823 0.0000 0.0290 Lu
0.3177 0.5000 0.9710 Lu
0.8177 0.0000 0.5290 Lu
0.1823 0.5000 0.4710 Lu
0.7008 0.5000 0.7410 Ag
0.7992 0.5000 0.2410 Ag
0.2008 0.0000 0.7590 Ag
0.2992 0.0000 0.2590 Ag
```

***

The structure with the most favorable energy is entry ii; the runner-up is 30 meV per atom above it.

***

Entry i
VASP calculation (GGA-PBE) on an optimized crystal structure of AgGeNO.

Structure (POSCAR):
```
AgGeNO
1.0
-1.5489 -2.6828 0.0000
0.0000 0.0000 5.5251
-5.4303 3.1352 0.0000
Ge N O Ag
2 2 2 2
direct
0.0000 0.0107 0.6225 Ge
0.0000 0.5107 0.3775 Ge
0.0000 0.8375 0.3805 N
0.0000 0.3375 0.6195 N
0.5000 0.4255 0.2249 O
0.5000 0.9255 0.7751 O
0.5000 0.9803 0.1361 Ag
0.5000 0.4803 0.8639 Ag
```

***

Entry ii
VASP calculation (GGA-PBE) on an optimized crystal structure of AgGeNO.

Structure (POSCAR):
```
AgGeNO
1.0
-1.5541 -2.6917 0.0000
0.0000 0.0000 5.3424
-5.5669 3.2140 0.0000
O N Ge Ag
2 2 2 2
direct
0.5000 0.8349 0.8871 O
0.5000 0.3349 0.1129 O
0.0000 0.4013 0.7359 N
0.0000 0.9012 0.2641 N
0.5000 0.9936 0.1377 Ge
0.5000 0.4936 0.8623 Ge
0.0000 0.0242 0.5913 Ag
0.0000 0.5242 0.4087 Ag
```

***

The structure with the most favorable energy is entry ii; the runner-up is 105 meV per atom above it.